NdTmMo, optimized geometry, DFT PBE; ρ = 8.02 g cm⁻³; magnetic moment = 1.8 μB per formula unit; symmetry = F-43m; DFT formation energy = 1.197 eV/atom; E = -5.499 eV per atom
1.0
6.9716 0.0000 0.0000
0.0000 6.9716 0.0000
0.0000 0.0000 6.9716
Nd Tm Mo
4 4 4
Cartesian
0.0000 0.0000 0.0000
0.0000 3.4858 3.4858
3.4858 0.0000 3.4858
3.4858 3.4858 0.0000
1.7429 1.7429 5.2287
1.7429 5.2287 1.7429
5.2287 1.7429 1.7429
5.2287 5.2287 5.2287
0.0000 0.0000 3.4858
0.0000 3.4858 0.0000
3.4858 0.0000 0.0000
3.4858 3.4858 3.4858

=====

NdUMo, optimized geometry, DFT PBE; ρ = 10.16 g cm⁻³; magnetic moment = 1.9 μB per formula unit; symmetry = F-43m; DFT formation energy = 0.870 eV/atom; E = -8.099 eV per atom
1.0
6.7871 0.0000 0.0000
0.0000 6.7871 0.0000
0.0000 0.0000 6.7871
Nd U Mo
4 4 4
Cartesian
0.0000 0.0000 0.0000
0.0000 3.3935 3.3935
3.3935 0.0000 3.3935
3.3935 3.3935 0.0000
0.0000 0.0000 3.3935
0.0000 3.3935 0.0000
3.3935 0.0000 0.0000
3.3935 3.3935 3.3935
1.6968 1.6968 1.6968
1.6968 5.0903 5.0903
5.0903 1.6968 5.0903
5.0903 5.0903 1.6968

=====

NdZnMo, optimized geometry, DFT PBE; ρ = 7.22 g cm⁻³; magnetic moment = 1.6 μB per formula unit; symmetry = F-43m; DFT formation energy = 0.695 eV/atom; E = -4.931 eV per atom
1.0
6.5504 0.0000 0.0000
0.0000 6.5504 0.0000
0.0000 0.0000 6.5504
Nd Zn Mo
4 4 4
Cartesian
0.0000 0.0000 0.0000
0.0000 3.2752 3.2752
3.2752 0.0000 3.2752
3.2752 3.2752 0.0000
1.6376 1.6376 4.9128
1.6376 4.9128 1.6376
4.9128 1.6376 1.6376
4.9128 4.9128 4.9128
0.0000 0.0000 3.2752
0.0000 3.2752 0.0000
3.2752 0.0000 0.0000
3.2752 3.2752 3.2752